Here is crystalline Zr5AlHg4 at its relaxed geometry from the Alexandria database. Energies are from PBE.

- energy relative to the elements (eV per atom) = -0.2344
- total DFT energy (no corrections) (eV/f.u.) = -50.03
- N(E_F) (states/eV/f.u.) = 12.28

Lattice parameters (Å, degrees): 3.155 3.155 21.189 90.00 90.00 90.00
Sites, in units of the cell vectors:
Zr  0.000  0.000  0.000
Zr  0.000  0.000  0.203
Zr  0.000  0.000  0.408
Zr  0.000  0.000  0.592
Zr  0.000  0.000  0.797
Al  0.500  0.500  0.500
Hg  0.500  0.500  0.101
Hg  0.500  0.500  0.304
Hg  0.500  0.500  0.696
Hg  0.500  0.500  0.899

***

Here is crystalline Zr2Al2Hg at its relaxed geometry from the Alexandria database. Energies are from PBE.

- energy relative to the elements (eV per atom) = -0.0549
- total DFT energy (no corrections) (eV/f.u.) = -25.16
- N(E_F) (states/eV/f.u.) = 3.38
- E above lowest polymorph (eV per atom) = 0.297

Lattice parameters (Å, degrees): 8.146 8.146 3.250 90.00 90.00 90.00
Sites, in units of the cell vectors:
Zr  0.130  0.370  0.000
Zr  0.370  0.870  0.000
Zr  0.630  0.130  0.000
Zr  0.870  0.630  0.000
Al  0.171  0.671  0.500
Al  0.329  0.171  0.500
Al  0.671  0.829  0.500
Al  0.829  0.329  0.500
Hg  0.000  0.000  0.000
Hg  0.500  0.500  0.000

***

Here is crystalline Zr2AlHg at its relaxed geometry from the Alexandria database. Energies are from PBE.

- energy relative to the elements (eV per atom) = -0.2406
- total DFT energy (no corrections) (eV/f.u.) = -22.10
- N(E_F) (states/eV/f.u.) = 2.51

Lattice parameters (Å, degrees): 11.229 3.263 5.070 90.00 116.73 90.00
Sites, in units of the cell vectors:
Zr  0.000  0.000  0.000
Zr  0.238  0.000  0.737
Zr  0.500  0.500  0.000
Zr  0.738  0.500  0.737
Al  0.256  0.500  0.255
Al  0.756  0.000  0.255
Hg  0.477  0.000  0.477
Hg  0.977  0.500  0.477

***

Here is crystalline Zr3AlHg2 at its relaxed geometry from the Alexandria database. Energies are from PBE.

- energy relative to the elements (eV per atom) = -0.2782
- total DFT energy (no corrections) (eV/f.u.) = -31.66
- N(E_F) (states/eV/f.u.) = 6.91

Lattice parameters (Å, degrees): 3.130 3.130 12.721 90.00 90.00 90.00
Sites, in units of the cell vectors:
Zr  0.000  0.000  0.000
Zr  0.000  0.000  0.345
Zr  0.000  0.000  0.655
Al  0.500  0.500  0.500
Hg  0.500  0.500  0.170
Hg  0.500  0.500  0.830

***

Here is crystalline Zr2AlHg at its relaxed geometry from the Alexandria database. Energies are from PBE.

- energy relative to the elements (eV per atom) = -0.2175
- total DFT energy (no corrections) (eV/f.u.) = -22.01
- N(E_F) (states/eV/f.u.) = 4.19

Lattice parameters (Å, degrees): 4.182 4.182 9.499 90.00 90.00 90.00
Sites, in units of the cell vectors:
Zr  0.000  0.000  0.000
Zr  0.000  0.500  0.250
Zr  0.500  0.000  0.750
Zr  0.500  0.500  0.500
Al  0.000  0.500  0.750
Al  0.500  0.000  0.250
Hg  0.000  0.000  0.500
Hg  0.500  0.500  0.000

***

Here is crystalline Zr2AlHg at its relaxed geometry from the Alexandria database. Energies are from PBE.

- energy relative to the elements (eV per atom) = -0.3042
- total DFT energy (no corrections) (eV/f.u.) = -22.36
- N(E_F) (states/eV/f.u.) = 2.46

Lattice parameters (Å, degrees): 6.039 8.494 3.189 90.00 90.00 90.00
Sites, in units of the cell vectors:
Zr  0.250  0.250  0.000
Zr  0.250  0.750  0.000
Zr  0.750  0.250  0.000
Zr  0.750  0.750  0.000
Al  0.000  0.000  0.500
Al  0.500  0.500  0.500
Hg  0.000  0.500  0.500
Hg  0.500  0.000  0.500

***

Here is crystalline Zr6AlHg at its relaxed geometry from the Alexandria database. Energies are from PBE.

- energy relative to the elements (eV per atom) = -0.2227
- total DFT energy (no corrections) (eV/f.u.) = -57.12
- N(E_F) (states/eV/f.u.) = 6.72

Lattice parameters (Å, degrees): 4.414 4.414 8.837 90.00 90.00 90.00
Sites, in units of the cell vectors:
Zr  0.000  0.000  0.000
Zr  0.000  0.000  0.500
Zr  0.000  0.500  0.244
Zr  0.000  0.500  0.756
Zr  0.500  0.000  0.244
Zr  0.500  0.000  0.756
Al  0.500  0.500  0.000
Hg  0.500  0.500  0.500

***

Here is crystalline Zr2AlHg at its relaxed geometry from the Alexandria database. Energies are from PBE.

- energy relative to the elements (eV per atom) = -0.0167
- total DFT energy (no corrections) (eV/f.u.) = -21.21
- N(E_F) (states/eV/f.u.) = 3.91

Lattice parameters (Å, degrees): 3.248 3.248 28.843 90.00 90.00 120.00
Sites, in units of the cell vectors:
Zr  0.000  0.000  0.000
Zr  0.000  0.000  0.248
Zr  0.333  0.667  0.667
Zr  0.333  0.667  0.915
Zr  0.667  0.333  0.333
Zr  0.667  0.333  0.581
Al  0.000  0.000  0.498
Al  0.333  0.667  0.165
Al  0.667  0.333  0.832
Hg  0.000  0.000  0.753
Hg  0.333  0.667  0.420
Hg  0.667  0.333  0.087

***

Here is crystalline Ho3Al at its relaxed geometry from the Alexandria database. Energies are from PBE.

- energy relative to the elements (eV per atom) = -0.1507
- total DFT energy (no corrections) (eV/f.u.) = -18.08
- N(E_F) (states/eV/f.u.) = 5.11

Lattice parameters (Å, degrees): 4.666 4.666 9.735 90.00 90.00 90.00
Sites, in units of the cell vectors:
Ho  0.000  0.000  0.000
Ho  0.000  0.500  0.250
Ho  0.000  0.500  0.750
Ho  0.500  0.000  0.250
Ho  0.500  0.000  0.750
Ho  0.500  0.500  0.500
Al  0.000  0.000  0.500
Al  0.500  0.500  0.000

***

Here is crystalline HoAl2 at its relaxed geometry from the Alexandria database. Energies are from PBE.

- energy relative to the elements (eV per atom) = -0.5208
- total DFT energy (no corrections) (eV/f.u.) = -13.63
- N(E_F) (states/eV/f.u.) = 2.13

Lattice parameters (Å, degrees): 5.547 5.547 5.547 60.00 60.00 60.00
Sites, in units of the cell vectors:
Ho  0.125  0.125  0.125
Ho  0.875  0.875  0.875
Al  0.000  0.500  0.500
Al  0.500  0.000  0.500
Al  0.500  0.500  0.000
Al  0.500  0.500  0.500

***

Here is crystalline Ho3Al at its relaxed geometry from the Alexandria database. Energies are from PBE.

- energy relative to the elements (eV per atom) = -0.1942
- total DFT energy (no corrections) (eV/f.u.) = -18.25
- N(E_F) (states/eV/f.u.) = 4.23

Lattice parameters (Å, degrees): 3.705 5.242 11.282 90.00 90.00 90.00
Sites, in units of the cell vectors:
Ho  0.000  0.000  0.000
Ho  0.000  0.500  0.216
Ho  0.000  0.500  0.784
Ho  0.500  0.000  0.284
Ho  0.500  0.000  0.716
Ho  0.500  0.500  0.500
Al  0.000  0.000  0.500
Al  0.500  0.500  0.000

***

Here is crystalline HoAl6 at its relaxed geometry from the Alexandria database. Energies are from PBE.

- energy relative to the elements (eV per atom) = -0.1737
- total DFT energy (no corrections) (eV/f.u.) = -28.25
- N(E_F) (states/eV/f.u.) = 1.63

Lattice parameters (Å, degrees): 5.887 5.887 7.858 90.00 90.00 90.00
Sites, in units of the cell vectors:
Ho  0.250  0.750  0.000
Ho  0.750  0.250  0.000
Al  0.076  0.576  0.355
Al  0.076  0.924  0.645
Al  0.250  0.250  0.160
Al  0.250  0.250  0.840
Al  0.424  0.576  0.645
Al  0.424  0.924  0.355
Al  0.576  0.076  0.645
Al  0.576  0.424  0.355
Al  0.750  0.750  0.160
Al  0.750  0.750  0.840
Al  0.924  0.076  0.355
Al  0.924  0.424  0.645

***

energy relative to the elements of number 1 (Zr5AlHg4)? -0.2344 eV per atom